Material: BeHgPb2
Method: DFT, PBE
State: optimized geometry

The energy above the most stable polymorph in this dataset comes out at 36.3 meV/atom. Its density of states at the Fermi level is 1.1 states/eV/f.u. As for the energy relative to the elements: 348 meV/atom. Its total energy is -2.514 eV per atom.

Structure (CIF):
```
data_BeHgPb2
_symmetry_space_group_name_H-M 'P 4 m m'
_symmetry_Int_Tables_number 99
_symmetry_space_group_name_Hall 'P 4 -2'
_cell_length_a 3.339
_cell_length_b 3.339
_cell_length_c 8.624
_cell_angle_alpha 90.00
_cell_angle_beta 90.00
_cell_angle_gamma 90.00
loop_
_atom_site_label
_atom_site_type_symbol
_atom_site_fract_x
_atom_site_fract_y
_atom_site_fract_z
_atom_site_occupancy
Be1 Be 0.000 0.000 0.000 1
Hg1 Hg 0.500 0.500 0.145 1
Pb1 Pb 0.000 0.000 0.435 1
Pb2 Pb 0.500 0.500 0.774 1
```

=====

Material: LiNb2Cu2
Method: DFT, PBE
State: optimized geometry

The energy above the most stable polymorph in this dataset comes out at 8.9 meV/atom. Its density of states at the Fermi level is 6.4 states/eV/f.u. As for the energy relative to the elements: 259 meV/atom. Its total energy is -5.790 eV per atom.

Structure (CIF):
```
data_LiNb2Cu2
_symmetry_space_group_name_H-M 'P 4/m b m'
_symmetry_Int_Tables_number 127
_symmetry_space_group_name_Hall '-P 4 2ab'
_cell_length_a 7.559
_cell_length_b 7.559
_cell_length_c 2.791
_cell_angle_alpha 90.00
_cell_angle_beta 90.00
_cell_angle_gamma 90.00
loop_
_atom_site_label
_atom_site_type_symbol
_atom_site_fract_x
_atom_site_fract_y
_atom_site_fract_z
_atom_site_occupancy
Li1 Li 0.000 0.000 0.000 1
Nb1 Nb 0.175 0.325 0.500 1
Cu1 Cu 0.119 0.619 0.000 1
```

=====

Material: AlCr3I
Method: DFT, PBE
State: optimized geometry

The formation energy without anion corrections comes out at 1535 meV/atom. The energy above the most stable polymorph in this dataset comes out at 430.7 meV/atom. Its density of states at the Fermi level is 0.5 states/eV/f.u. Its total energy is -5.297 eV per atom.

Structure (CIF):
```
data_AlCr3I
_symmetry_space_group_name_H-M 'P m -3 m'
_symmetry_Int_Tables_number 221
_symmetry_space_group_name_Hall '-P 4 2 3'
_cell_length_a 5.086
_cell_length_b 5.086
_cell_length_c 5.086
_cell_angle_alpha 90.00
_cell_angle_beta 90.00
_cell_angle_gamma 90.00
loop_
_atom_site_label
_atom_site_type_symbol
_atom_site_fract_x
_atom_site_fract_y
_atom_site_fract_z
_atom_site_occupancy
Al1 Al 0.000 0.000 0.000 1
Cr1 Cr 0.000 0.500 0.500 1
I1 I 0.500 0.500 0.500 1
```

=====

Question: What is the formula in the first record?
Answer: BeHgPb2

=====

Question: Number 3 is which compound?
Answer: AlCr3I